Entry 1:
GdTmAlCo PBE relaxed; energy = -7.550 eV/atom; DFT formation energy = -0.20 eV per atom
1.0
0.0000 3.4890 3.4890
3.4890 0.0000 3.4890
3.4890 3.4890 0.0000
Gd Tm Al Co
1 1 1 1
direct
0.0000 0.0000 0.0000
0.5000 0.5000 0.5000
0.7500 0.7500 0.7500
0.2500 0.2500 0.2500

=====

Entry 2:
Ba2Mg12ScCd3 PBE relaxed; energy = -1.610 eV/atom; DFT formation energy = 0.17 eV per atom
1.0
4.3919 2.5357 8.3524
-4.3919 2.5357 8.3524
0.0000 -5.0713 8.3524
Ba Mg Sc Cd
2 12 1 3
direct
0.0793 0.0793 0.0793
0.9207 0.9207 0.9207
0.0543 0.6729 0.6729
0.2885 0.2885 0.6309
0.2885 0.6309 0.2885
0.3271 0.3271 0.9457
0.3271 0.9457 0.3271
0.3691 0.7115 0.7115
0.6309 0.2885 0.2885
0.6729 0.0543 0.6729
0.6729 0.6729 0.0543
0.7115 0.3691 0.7115
0.7115 0.7115 0.3691
0.9457 0.3271 0.3271
0.5000 0.5000 0.5000
0.0000 0.5000 0.5000
0.5000 0.0000 0.5000
0.5000 0.5000 0.0000

=====

Entry 3:
PrFeCo2H8 PBE relaxed; energy = -4.684 eV/atom
1.0
2.2082 1.2749 5.4183
-2.2082 1.2749 5.4183
0.0000 -2.5498 5.4183
Pr Fe Co H
1 1 2 8
direct
0.0000 0.0000 0.0000
0.5000 0.5000 0.5000
0.1988 0.1988 0.1988
0.8012 0.8012 0.8012
0.1419 0.4038 0.8173
0.1827 0.8581 0.5962
0.2987 0.2987 0.2987
0.4038 0.8173 0.1419
0.5962 0.1827 0.8581
0.7013 0.7013 0.7013
0.8173 0.1419 0.4038
0.8581 0.5962 0.1827

=====

The records above give, respectively, DOS(E_F) values of 3.1, 9.1, 5.6 states/eV/cell.